A plane-wave DFT calculation with PBE was carried out for crystalline CuTc2HgO8 at its relaxed geometry.

Summary:
- Space-group type: C2/m, No. 12
- Calculated volume: 231 Å³ per cell
- Formation energy (no corrections): -1.046 eV per atom
- Magnetization: 0.9 μB/f.u.

Cell: 5.589 6.890 7.551 Å, 62.97 68.28 66.07°
Last column: magnetic moment on the atom in μB.
Atoms (fractional coordinates):
1 Hg 0.500 0.500 0.500  0.12
2 Tc 0.309 0.220 0.162  0.01
3 O 0.871 0.951 0.822  0.04
4 Cu 0.000 0.000 0.000  0.44
5 Tc 0.691 0.780 0.838  0.01
6 O 0.129 0.049 0.178  0.04
7 O 0.356 0.951 0.822  0.04
8 O 0.309 0.448 0.934  0.04
9 O 0.691 0.552 0.066  0.04
10 O 0.644 0.049 0.178  0.04
11 O 0.840 0.683 0.638  0.01
12 O 0.160 0.317 0.362  0.01


A plane-wave DFT calculation with PBE was carried out for crystalline Cu3Hg2Te6O16 at its relaxed geometry.

Summary:
- Space-group type: P42_12, No. 90
- Calculated volume: 905 Å³ per cell
- Formation energy (no corrections): -0.843 eV per atom
- Magnetization: 3.0 μB/f.u.

Cell: 8.813 8.813 11.654 Å, 90.00 90.00 90.00°
Last column: magnetic moment on the atom in μB.
Atoms (fractional coordinates):
1 O 0.316 0.877 0.061  0.09
2 O 0.160 0.653 0.395  0.09
3 Te 0.280 0.293 0.265  0.01
4 Hg 0.106 0.106 0.500  0.01
5 O 0.390 0.756 0.835  0.01
6 Te 0.220 0.793 0.735  0.01
7 O 0.890 0.744 0.165  0.01
8 O 0.298 0.089 0.320  0.09
9 Hg 0.606 0.394 0.500  0.01
10 O 0.340 0.153 0.605  0.09
11 O 0.744 0.890 0.835  0.01
12 Te 0.720 0.707 0.265  0.01
13 O 0.184 0.377 0.939  0.09
14 Te 0.826 0.826 0.000  0.00
15 Cu 0.000 0.500 0.390  0.58
16 O 0.756 0.390 0.165  0.01
17 Te 0.174 0.174 0.000  0.00
18 Cu 0.500 0.000 0.322  0.58
19 O 0.798 0.411 0.680  0.09
20 Te 0.207 0.780 0.265  0.01
21 O 0.623 0.816 0.061  0.09
22 O 0.153 0.340 0.395  0.09
23 O 0.660 0.847 0.605  0.09
24 O 0.840 0.347 0.395  0.09
25 Te 0.326 0.674 0.000  0.00
26 O 0.256 0.110 0.835  0.01
27 O 0.202 0.589 0.680  0.09
28 Cu 0.500 0.000 0.057  0.59
29 O 0.684 0.123 0.061  0.09
30 O 0.123 0.684 0.939  0.09
31 Cu 0.000 0.500 0.943  0.59
32 O 0.877 0.316 0.939  0.09
33 O 0.347 0.840 0.605  0.09
34 Cu 0.000 0.500 0.678  0.58
35 O 0.702 0.911 0.320  0.09
36 O 0.244 0.610 0.165  0.01
37 O 0.110 0.256 0.165  0.01
38 Hg 0.394 0.606 0.500  0.01
39 Hg 0.894 0.894 0.500  0.01
40 Te 0.780 0.207 0.735  0.01
41 O 0.653 0.160 0.605  0.09
42 Cu 0.500 0.000 0.610  0.58
43 O 0.816 0.623 0.939  0.09
44 O 0.610 0.244 0.835  0.01
45 Te 0.293 0.280 0.735  0.01
46 O 0.089 0.298 0.680  0.09
47 Te 0.707 0.720 0.735  0.01
48 Te 0.793 0.220 0.265  0.01
49 O 0.911 0.702 0.680  0.09
50 O 0.847 0.660 0.395  0.09
51 O 0.377 0.184 0.061  0.09
52 Te 0.674 0.326 0.000  0.00
53 O 0.411 0.798 0.320  0.09
54 O 0.589 0.202 0.320  0.09


A plane-wave DFT calculation with PBE was carried out for crystalline Cu4HgTe3O12 at its relaxed geometry.

Summary:
- Space-group type: R32, No. 155
- Calculated volume: 274 Å³ per cell
- Formation energy (no corrections): -0.646 eV per atom
- Magnetization: 0.5 μB/f.u.

Cell: 6.939 6.939 6.939 Å, 107.51 107.51 107.51°
Last column: magnetic moment on the atom in μB.
Atoms (fractional coordinates):
1 O 0.646 0.729 0.007  0.01
2 O 0.354 0.993 0.271  0.01
3 O 0.993 0.271 0.354  0.01
4 Cu 0.117 0.500 0.883  0.13
5 Hg 0.000 0.000 0.000  -0.01
6 Te 0.570 0.430 0.000  0.00
7 O 0.271 0.354 0.993  0.01
8 O 0.328 0.672 0.500  0.01
9 O 0.672 0.500 0.328  0.01
10 Cu 0.500 0.500 0.500  0.07
11 O 0.729 0.007 0.646  0.01
12 Cu 0.883 0.117 0.500  0.13
13 Cu 0.500 0.883 0.117  0.13
14 O 0.007 0.646 0.729  0.01
15 O 0.500 0.328 0.672  0.01
16 Te 0.000 0.570 0.430  0.00
17 O 0.500 0.100 0.900  0.00
18 Te 0.430 0.000 0.570  0.00
19 O 0.100 0.900 0.500  0.00
20 O 0.900 0.500 0.100  0.00


A plane-wave DFT calculation with PBE was carried out for crystalline CuHgTe2O8 at its relaxed geometry.

Summary:
- Space-group type: I-4m2, No. 119
- Calculated volume: 176 Å³ per cell
- Formation energy (no corrections): -0.416 eV per atom
- Magnetization: 1.1 μB/f.u.

Cell: 6.121 6.121 6.121 Å, 107.68 107.68 113.11°
Last column: magnetic moment on the atom in μB.
Atoms (fractional coordinates):
1 O 0.876 0.676 0.200  0.06
2 O 0.324 0.523 0.200  0.06
3 O 0.324 0.124 0.800  0.06
4 Te 0.750 0.250 0.500  -0.01
5 O 0.375 0.062 0.313  0.04
6 Te 0.500 0.500 0.000  -0.01
7 O 0.938 0.625 0.687  0.04
8 O 0.749 0.062 0.687  0.04
9 Hg 0.000 0.000 0.000  0.02
10 Cu 0.250 0.750 0.500  0.57
11 O 0.477 0.676 0.800  0.06
12 O 0.938 0.251 0.313  0.04


A plane-wave DFT calculation with PBE was carried out for crystalline CuHg2TeO6 at its relaxed geometry.

Summary:
- Space-group type: C2/m, No. 12
- Calculated volume: 132 Å³ per cell
- Formation energy (no corrections): -0.568 eV per atom
- Magnetization: 1.0 μB/f.u.

Cell: 5.147 5.440 5.990 Å, 117.01 114.54 90.00°
Last column: magnetic moment on the atom in μB.
Atoms (fractional coordinates):
1 Hg 0.210 0.237 0.474  0.01
2 O 0.181 0.684 0.858  0.08
3 O 0.318 0.692 0.383  0.03
4 Hg 0.790 0.763 0.526  0.01
5 O 0.682 0.308 0.617  0.03
6 O 0.819 0.316 0.142  0.08
7 O 0.819 0.826 0.142  0.08
8 Te 0.000 0.500 0.000  0.01
9 O 0.181 0.174 0.858  0.08
10 Cu 0.500 0.000 0.000  0.51


A plane-wave DFT calculation with PBE was carried out for crystalline Cu2HgTeO6 at its relaxed geometry.

Summary:
- Space-group type: C2/c, No. 15
- Calculated volume: 278 Å³ per cell
- Formation energy (no corrections): -0.623 eV per atom
- Magnetization: 0.0 μB/f.u.

Cell: 7.258 6.269 6.269 Å, 82.29 81.87 81.87°
Atoms (fractional coordinates):
1 O 0.350 0.957 0.781
2 O 0.998 0.270 0.644
3 O 0.498 0.644 0.270
4 O 0.502 0.356 0.730
5 O 0.690 0.733 0.585
6 O 0.310 0.267 0.415
7 O 0.650 0.043 0.219
8 O 0.002 0.730 0.356
9 Te 0.750 0.737 0.263
10 O 0.810 0.415 0.267
11 Cu 0.937 0.682 0.675
12 Cu 0.063 0.318 0.325
13 O 0.850 0.781 0.957
14 Hg 0.250 0.855 0.145
15 O 0.190 0.585 0.733
16 Cu 0.437 0.675 0.682
17 Cu 0.563 0.325 0.318
18 Te 0.250 0.263 0.737
19 Hg 0.750 0.145 0.855
20 O 0.150 0.219 0.043


A plane-wave DFT calculation with PBE was carried out for crystalline TlCuHg2O4 at its relaxed geometry.

Summary:
- Space-group type: I-4, No. 82
- Calculated volume: 135 Å³ per cell
- Formation energy (no corrections): -0.353 eV per atom
- Magnetization: 0.0 μB/f.u.

Cell: 5.175 5.177 6.228 Å, 114.54 114.53 90.01°
Atoms (fractional coordinates):
1 Hg 0.486 0.986 0.972
2 Hg 0.236 0.236 0.472
3 O 0.849 0.408 0.242
4 Cu 0.736 0.736 0.472
5 Tl 0.986 0.486 0.972
6 O 0.637 0.622 0.701
7 O 0.064 0.079 0.701
8 O 0.393 0.834 0.242


A plane-wave DFT calculation with PBE was carried out for crystalline UCuHgO5 at its relaxed geometry.

Summary:
- Space-group type: C2/c, No. 15
- Calculated volume: 242 Å³ per cell
- Formation energy (no corrections): -1.669 eV per atom
- Magnetization: 1.0 μB/f.u.

Cell: 6.147 6.147 8.131 Å, 100.62 100.62 121.80°
Last column: magnetic moment on the atom in μB.
Atoms (fractional coordinates):
1 U 0.000 0.000 0.500  0.06
2 O 0.609 0.750 0.933  0.06
3 Cu 0.306 0.694 0.750  0.57
4 O 0.941 0.316 0.125  0.10
5 O 0.750 0.609 0.433  0.06
6 Hg 0.689 0.311 0.750  0.02
7 Cu 0.694 0.306 0.250  0.57
8 O 0.391 0.250 0.067  0.06
9 O 0.059 0.684 0.875  0.10
10 O 0.938 0.062 0.750  0.03
11 Hg 0.311 0.689 0.250  0.02
12 O 0.062 0.938 0.250  0.03
13 O 0.250 0.391 0.567  0.06
14 O 0.684 0.059 0.375  0.10
15 U 0.000 0.000 0.000  0.06
16 O 0.316 0.941 0.625  0.10


A plane-wave DFT calculation with PBE was carried out for crystalline UCu2HgO6 at its relaxed geometry.

Summary:
- Space-group type: C2/c, No. 15
- Calculated volume: 290 Å³ per cell
- Formation energy (no corrections): -1.384 eV per atom
- Magnetization: 2.0 μB/f.u.

Cell: 5.602 7.266 7.266 Å, 94.81 83.12 83.12°
Last column: magnetic moment on the atom in μB.
Atoms (fractional coordinates):
1 O 0.438 0.820 0.422  0.06
2 O 0.938 0.422 0.820  0.06
3 O 0.898 0.978 0.241  0.08
4 Hg 0.750 0.105 0.895  0.01
5 O 0.602 0.759 0.022  0.08
6 Cu 0.319 0.380 0.225  0.57
7 O 0.398 0.241 0.978  0.08
8 U 0.750 0.703 0.297  0.05
9 U 0.250 0.297 0.703  0.05
10 O 0.562 0.180 0.578  0.06
11 O 0.062 0.578 0.180  0.06
12 O 0.102 0.022 0.759  0.08
13 Cu 0.181 0.775 0.620  0.57
14 Cu 0.681 0.620 0.775  0.57
15 Hg 0.250 0.895 0.105  0.01
16 O 0.629 0.431 0.293  0.21
17 O 0.371 0.569 0.707  0.21
18 O 0.871 0.707 0.569  0.21
19 O 0.129 0.293 0.431  0.21
20 Cu 0.819 0.225 0.380  0.57


A plane-wave DFT calculation with PBE was carried out for crystalline YCu2HgO at its relaxed geometry.

Summary:
- Space-group type: P4/mmm, No. 123
- Calculated volume: 86 Å³ per cell
- Formation energy (no corrections): -0.595 eV per atom
- Magnetization: 0.0 μB/f.u.

Cell: 4.416 4.398 4.416 Å, 90.00 90.00 90.00°
Atoms (fractional coordinates):
1 Cu 0.000 0.000 0.500
2 Cu 0.500 0.000 0.000
3 O 0.000 0.000 0.000
4 Y 0.000 0.500 0.000
5 Hg 0.500 0.500 0.500


A plane-wave DFT calculation with PBE was carried out for crystalline Y2CuHgO5 at its relaxed geometry.

Summary:
- Space-group type: P4/mbm, No. 127
- Calculated volume: 242 Å³ per cell
- Formation energy (no corrections): -1.971 eV per atom
- Magnetization: 0.3 μB/f.u.

Cell: 5.511 6.624 6.624 Å, 90.00 90.00 90.00°
Last column: magnetic moment on the atom in μB.
Atoms (fractional coordinates):
1 O 0.747 0.132 0.632  0.03
2 O 0.253 0.132 0.632  0.03
3 O 0.747 0.368 0.132  0.03
4 Hg 0.000 0.000 0.000  0.02
5 O 0.253 0.632 0.868  0.03
6 Y 0.500 0.326 0.826  0.01
7 O 0.500 0.500 0.500  0.00
8 O 0.253 0.868 0.368  0.03
9 Y 0.500 0.826 0.674  0.01
10 Y 0.500 0.674 0.174  0.01
11 O 0.747 0.632 0.868  0.03
12 O 0.747 0.868 0.368  0.03
13 Hg 0.000 0.500 0.500  0.02
14 Cu 0.000 0.500 0.000  0.15
15 Cu 0.000 0.000 0.500  0.15
16 Y 0.500 0.174 0.326  0.01
17 O 0.500 0.000 0.000  0.00
18 O 0.253 0.368 0.132  0.03


A plane-wave DFT calculation with PBE was carried out for crystalline CuHg2Os2 at its relaxed geometry.

Summary:
- Space-group type: I4/mmm, No. 139
- ΔE to the lowest computed polymorph: 0.000 eV per atom
- Calculated volume: 95 Å³ per cell
- Magnetization: 0.0 μB/f.u.
- E_form: 21.23 kcal/mol of atoms

Cell: 3.546 3.546 7.994 Å, 77.19 77.19 90.00°
Atoms (fractional coordinates):
1 Os 0.250 0.750 0.500
2 Hg 0.594 0.594 0.812
3 Os 0.750 0.250 0.500
4 Hg 0.406 0.406 0.188
5 Cu 0.000 0.000 0.000